No. 1
Density functional theory data (GGA-PBE) for an optimized crystal structure of PrHo3Tm6.

Computed properties:
M_tot in μB/atom: 0.00
DOS at the Fermi energy in states/eV/cell: 60.54
DFT formation energy in meV per atom: 298
Offset from the most stable computed form in meV per atom: 148

Unit cell a=9.7318 b=9.7318 c=11.5856 alpha=90.00 beta=90.00 gamma=120.00
Closest atoms and distances in Å follow each position.
Space group R3 (No. 146, hexagonal axes)
Symmetry-distinct sites (fractional):
Pr (0.0000, 0.0000, 0.0000) (multiplicity 3)  2 Ho 2.92-2.94, 3 Tm 3.26
Ho (0.0000, 0.0000, 0.2542) (multiplicity 3)  1 Ho 2.85, 1 Pr 2.94
Ho (0.0000, 0.0000, 0.5004) (multiplicity 3)  2 Ho 2.85-2.87
Ho (0.0000, 0.0000, 0.7478) (multiplicity 3)  1 Ho 2.87, 1 Pr 2.92
Tm (0.9996, 0.3347, 0.9989) (multiplicity 9)  1 Pr 3.26, 2 Ho 3.36-3.37
Tm (0.0028, 0.6672, 0.1655) (multiplicity 9)  3 Ho 3.22-3.41

***

No. 2
Density functional theory data (GGA-PBE) for an optimized crystal structure of LaTb5NdTm2.

Computed properties:
M_tot in μB/atom: 0.00
DOS at the Fermi energy in states/eV/cell: 56.56
DFT formation energy in meV per atom: 163

Unit cell a=5.6316 b=19.9020 c=10.6397 alpha=90.00 beta=90.00 gamma=90.00
Closest atoms and distances in Å follow each position.
Space group Cmc2_1 (No. 36)
Symmetry-distinct sites (fractional):
La (0.0000, 0.0814, 0.0000) (multiplicity 4)  5 Tb 3.05-3.29
Tb (0.0000, 0.0220, 0.2886) (multiplicity 4)  2 La 3.05-3.29
Tb (0.0000, 0.1105, 0.5777) (multiplicity 4)  6 Tb 3.46-3.83, 4 Tm 3.56-3.59, 1 Nd 3.75
Tb (0.0000, 0.2025, 0.2614) (multiplicity 4)  3 Tb 3.40-3.60, 3 Nd 3.51-3.76, 3 Tm 3.53-3.72, 1 La 3.68
Tb (0.0000, 0.2188, 0.8642) (multiplicity 4)  1 La 3.09, 1 Tm 3.33, 2 Tb 3.40
Tb (0.0000, 0.4834, 0.5795) (multiplicity 4)  2 La 3.21, 2 Tm 3.36-3.40, 2 Tb 3.59
Nd (0.0000, 0.2986, 0.5652) (multiplicity 4)  2 Tm 3.47-3.71, 8 Tb 3.51-3.76, 2 La 3.76
Tm (0.0000, 0.3863, 0.8732) (multiplicity 4)  9 Tb 3.33-3.67, 1 Nd 3.71
Tm (0.0000, 0.3891, 0.2867) (multiplicity 4)  7 Tb 3.36-3.72, 1 Nd 3.47, 2 La 3.66

***

No. 3
Density functional theory data (GGA-PBE) for an optimized crystal structure of La2InCoBi.

Computed properties:
M_tot in μB/atom: 0.00
DOS at the Fermi energy in states/eV/cell: 2.76
DFT formation energy in meV per atom: -581

Unit cell a=5.3035 b=5.3035 c=4.9810 alpha=90.00 beta=90.00 gamma=90.00
Closest atoms and distances in Å follow each position.
Space group P4/mmm (No. 123)
Symmetry-distinct sites (fractional):
La (0.0000, 0.5000, 0.0000) (multiplicity 2)  2 Co 2.65
In (0.0000, 0.0000, 0.5000) (multiplicity 1)  2 Co 2.49
Co (0.0000, 0.0000, 0.0000) (multiplicity 1)  2 In 2.49, 4 La 2.65
Bi (0.5000, 0.5000, 0.5000) (multiplicity 1)  8 La 3.64, 4 In 3.75

***

No. 4
Density functional theory data (GGA-PBE) for an optimized crystal structure of ZrScGaPd.

Computed properties:
M_tot in μB/atom: 0.00
DOS at the Fermi energy in states/eV/cell: 17.86
DFT formation energy in meV per atom: -607

Unit cell a=6.7157 b=6.7157 c=6.7157 alpha=90.00 beta=90.00 gamma=90.00
Closest atoms and distances in Å follow each position.
Space group F-43m (No. 216)
Symmetry-distinct sites (fractional):
Zr (0.0000, 0.0000, 0.0000) (multiplicity 4)  4 Pd 2.91, 4 Ga 2.91
Sc (0.0000, 0.0000, 0.5000) (multiplicity 4)  4 Ga 2.91, 4 Pd 2.91
Ga (0.2500, 0.2500, 0.2500) (multiplicity 4)  4 Zr 2.91, 4 Sc 2.91
Pd (0.2500, 0.2500, 0.7500) (multiplicity 4)  4 Zr 2.91, 4 Sc 2.91

***

No. 5
Density functional theory data (GGA-PBE) for an optimized crystal structure of Ac3LaS6.

Computed properties:
M_tot in μB/atom: 0.00
DOS at the Fermi energy in states/eV/cell: 0.00
Uncorrected formation energy in eV per formula unit: -21.64

Unit cell a=12.4670 b=12.4670 c=14.6269 alpha=90.00 beta=90.00 gamma=120.00
Closest atoms and distances in Å follow each position.
Space group R-3 (No. 148, hexagonal axes)
Symmetry-distinct sites (fractional):
Ac (0.0450, 0.7764, 0.2048) (multiplicity 18)  6 S 2.96-3.04
La (0.0000, 0.0000, 0.0000) (multiplicity 3)  6 S 2.86
La (0.0000, 0.0000, 0.5000) (multiplicity 3)  6 S 2.90
S (0.0256, 0.8114, 0.4030) (multiplicity 18)  1 La 2.90, 3 Ac 2.96-3.04
S (0.0301, 0.8409, 0.8752) (multiplicity 18)  1 La 2.86, 3 Ac 2.97-3.02

***

No. 6
Density functional theory data (GGA-PBE) for an optimized crystal structure of Ba3NaCa.

Computed properties:
M_tot in μB/atom: 0.00
DOS at the Fermi energy in states/eV/cell: 27.28
DFT formation energy in meV per atom: 61
Offset from the most stable computed form in meV per atom: 15

Unit cell a=27.4217 b=4.2255 c=9.9947 alpha=90.00 beta=108.19 gamma=90.00
Closest atoms and distances in Å follow each position.
Space group C2/m (No. 12)
Symmetry-distinct sites (fractional):
Ba (0.0170, 0.0000, 0.2360) (multiplicity 4)  4 Na 4.13-4.19, 8 Ba 4.23-4.60
Ba (0.1266, 0.5000, 0.0369) (multiplicity 4)  1 Na 4.05, 3 Ca 4.10-4.24, 4 Ba 4.23-4.41
Ba (0.1776, 0.0000, 0.4448) (multiplicity 4)  2 Na 4.07, 3 Ca 4.17-4.18, 7 Ba 4.23-4.41
Na (0.0833, 0.5000, 0.6103) (multiplicity 4)  1 Ca 3.98, 7 Ba 4.05-4.19, 3 Na 4.23-4.41
Ca (0.2324, 0.5000, 0.8235) (multiplicity 4)  4 Ca 3.96-4.23, 1 Na 3.98, 6 Ba 4.10-4.24